# 1
Density functional theory data (PBE) for a relaxed CuBi2Os crystal.

As for the total magnetic moment: 0.06 μB/cell. As for the total DFT energy (no corrections): -0.34779 Ry/atom.

It has space group F-43m (No. 216), with a = 6.9251 Å, b = 6.9251 Å, c = 6.9251 Å, α = 90.00°, β = 90.00° and γ = 90.00°. The inequivalent atoms are Cu at (0.0000, 0.0000, 0.0000), Bi at (0.0000, 0.0000, 0.5000), Bi at (0.2500, 0.2500, 0.2500) and Os at (0.2500, 0.2500, 0.7500).

# 2
Density functional theory data (PBE) for a relaxed RbCoReAu crystal.

As for the total magnetic moment: 0.25 μB/cell. As for the total DFT energy (no corrections): -0.30515 Ry/atom.

It has space group F-43m (No. 216), with a = 6.6244 Å, b = 6.6244 Å, c = 6.6244 Å, α = 90.00°, β = 90.00° and γ = 90.00°. The inequivalent atoms are Rb at (0.0000, 0.0000, 0.0000), Co at (0.0000, 0.0000, 0.5000), Re at (0.2500, 0.2500, 0.2500) and Au at (0.2500, 0.2500, 0.7500).

# 3
Density functional theory data (PBE) for a relaxed Dy3In3CuNi2 crystal.

As for the total magnetic moment: 0.01 μB/cell. As for the total DFT energy (no corrections): -0.33658 Ry/atom.

It has space group P-62m (No. 189), with a = 7.4209 Å, b = 7.4209 Å, c = 3.8533 Å, α = 90.00°, β = 90.00° and γ = 120.00°. The inequivalent atoms are Dy at (0.0000, 0.5859, 0.0000), In at (0.0000, 0.2566, 0.5000), Cu at (0.0000, 0.0000, 0.0000) and Ni at (0.3333, 0.6667, 0.5000).

# 4
Density functional theory data (PBE) for a relaxed ErAlPO crystal.

As for the total magnetic moment: 0.01 μB/cell. As for the total DFT energy (no corrections): -0.46947 Ry/atom.

It has space group Pmc2_1 (No. 26), with a = 3.9266 Å, b = 4.5822 Å, c = 6.6203 Å, α = 90.00°, β = 90.00° and γ = 90.00°. The inequivalent atoms are Er at (0.0000, 0.1661, 0.0000), Al at (0.5000, 0.3467, 0.3492), P at (0.5000, 0.1581, 0.6954) and O at (0.0000, 0.3472, 0.3459).

# 5
Density functional theory data (PBE) for a relaxed HfZr2Ni3As4Pd crystal.

As for the total magnetic moment: 0.00 μB/cell. As for the total DFT energy (no corrections): -0.50929 Ry/atom.

It has space group Pm (No. 6), with a = 6.5616 Å, b = 3.8433 Å, c = 7.4066 Å, α = 90.00°, β = 90.11° and γ = 90.00°. The inequivalent atoms are Hf at (0.0000, 0.0000, 0.0000), Zr at (0.4868, 0.0000, 0.8704), Zr at (0.9385, 0.5000, 0.3791), Ni at (0.0877, 0.0000, 0.6316), Ni at (0.3018, 0.5000, 0.1275), Ni at (0.8399, 0.5000, 0.7491), As at (0.2091, 0.5000, 0.7922), As at (0.2257, 0.0000, 0.3190), As at (0.7079, 0.5000, 0.0533), As at (0.7136, 0.0000, 0.5798) and Pd at (0.6048, 0.0000, 0.2571).

# 6
Density functional theory data (PBE) for a relaxed Zr2ScB crystal.

As for the total magnetic moment: 0.18 μB/cell. As for the total DFT energy (no corrections): -0.51518 Ry/atom.

It has space group F-43m (No. 216), with a = 6.5884 Å, b = 6.5884 Å, c = 6.5884 Å, α = 90.00°, β = 90.00° and γ = 90.00°. The inequivalent atoms are Zr at (0.0000, 0.0000, 0.0000), Zr at (0.2500, 0.2500, 0.2500), Sc at (0.2500, 0.2500, 0.7500) and B at (0.0000, 0.0000, 0.5000).

Copy entry 2 word for word.
Density functional theory data (PBE) for a relaxed RbCoReAu crystal.

As for the total magnetic moment: 0.25 μB/cell. As for the total DFT energy (no corrections): -0.30515 Ry/atom.

It has space group F-43m (No. 216), with a = 6.6244 Å, b = 6.6244 Å, c = 6.6244 Å, α = 90.00°, β = 90.00° and γ = 90.00°. The inequivalent atoms are Rb at (0.0000, 0.0000, 0.0000), Co at (0.0000, 0.0000, 0.5000), Re at (0.2500, 0.2500, 0.2500) and Au at (0.2500, 0.2500, 0.7500).